Entry 1:
First-principles (PBE) data for Y5Sc4Ga4 after structural relaxation, as listed in Alexandria via LeMat-Bulk.

Unit cell a=8.6692 b=8.6692 c=8.6692 alpha=93.99 beta=93.99 gamma=149.42
Element x y z (fractional)
Y  0.0000  0.0000  0.0000
Y  0.3042  0.6188  0.9229
Y  0.3812  0.3042  0.6854
Y  0.6188  0.6958  0.3146
Y  0.6958  0.3812  0.0771
Sc  0.1015  0.4128  0.5143
Sc  0.4128  0.8985  0.3113
Sc  0.5872  0.1015  0.6887
Sc  0.8985  0.5872  0.4857
Ga  0.0758  0.7531  0.8289
Ga  0.2469  0.0758  0.3228
Ga  0.7531  0.9242  0.6772
Ga  0.9242  0.2469  0.1711

Output
The value obtained for the formation energy is -5.68 eV per formula unit.

---

Entry 2:
First-principles (PBE) data for ReTeAs2Se after structural relaxation, as listed in Alexandria via LeMat-Bulk.

Unit cell a=4.9763 b=4.9763 c=4.6981 alpha=90.00 beta=90.00 gamma=90.00
Element x y z (fractional)
Re  0.0000  0.0000  0.0000
Te  0.5000  0.5000  0.5000
As  0.0000  0.5000  0.0000
As  0.5000  0.0000  0.0000
Se  0.0000  0.0000  0.5000

Output
The uncorrected formation energy comes out at 0.499 eV/atom. The offset from the most stable computed form comes out at 0.00 eV per formula unit.

---

Entry 3:
First-principles (PBE) data for KSeO2F after structural relaxation, as listed in Alexandria via LeMat-Bulk.

Unit cell a=4.5548 b=6.1752 c=7.3558 alpha=90.00 beta=107.47 gamma=90.00
Element x y z (fractional)
K  0.1607  0.2500  0.3260
K  0.8393  0.7500  0.6740
Se  0.4246  0.2500  0.8409
Se  0.5754  0.7500  0.1591
O  0.3509  0.0329  0.6994
O  0.3509  0.4671  0.6994
O  0.6491  0.5329  0.3006
O  0.6491  0.9671  0.3006
F  0.0515  0.2500  0.9175
F  0.9485  0.7500  0.0825

Output
The uncorrected formation energy comes out at -1.576 eV/atom.

---

Entry 4:
First-principles (PBE) data for UZnPbO5 after structural relaxation, as listed in Alexandria via LeMat-Bulk.

Unit cell a=6.0960 b=6.0960 c=8.1385 alpha=105.14 beta=105.14 gamma=106.85
Element x y z (fractional)
U  0.0000  0.0000  0.0000
U  0.0000  0.0000  0.5000
Zn  0.3103  0.6897  0.7500
Zn  0.6897  0.3103  0.2500
Pb  0.3220  0.6780  0.2500
Pb  0.6780  0.3220  0.7500
O  0.0735  0.9265  0.2500
O  0.1000  0.6999  0.8979
O  0.2394  0.3491  0.5911
O  0.3001  0.9000  0.6021
O  0.3491  0.2394  0.0911
O  0.6509  0.7606  0.9089
O  0.6999  0.1000  0.3979
O  0.7606  0.6509  0.4089
O  0.9000  0.3001  0.1021
O  0.9265  0.0735  0.7500

Output
The uncorrected formation energy comes out at -2.212 eV/atom.

---

Entry 5:
First-principles (PBE) data for PmNd2Ir2Pt after structural relaxation, as listed in Alexandria via LeMat-Bulk.

Unit cell a=6.6038 b=6.6038 c=6.6038 alpha=128.92 beta=128.92 gamma=75.14
Element x y z (fractional)
Pm  0.0000  0.0000  0.0000
Nd  0.2500  0.7500  0.5000
Nd  0.7500  0.2500  0.5000
Ir  0.2544  0.2544  0.0000
Ir  0.7456  0.7456  0.0000
Pt  0.5000  0.5000  0.0000

Output
The value obtained for the formation energy is -1.69 eV per formula unit.

---

Entry 6:
First-principles (PBE) data for Rb2MnTlRh after structural relaxation, as listed in Alexandria via LeMat-Bulk.

Unit cell a=6.4330 b=6.4330 c=4.8089 alpha=90.00 beta=90.00 gamma=90.00
Element x y z (fractional)
Rb  0.0000  0.5000  0.0000
Rb  0.5000  0.0000  0.0000
Mn  0.0000  0.0000  0.5000
Tl  0.5000  0.5000  0.5000
Rh  0.0000  0.0000  0.0000

Output
The value obtained for the formation energy is 3.32 eV per formula unit.

---

Entry 7:
First-principles (PBE) data for Li2LaIr after structural relaxation, as listed in Alexandria via LeMat-Bulk.

Unit cell a=5.4457 b=5.4457 c=5.4457 alpha=47.67 beta=47.67 gamma=47.67
Element x y z (fractional)
Li  0.0000  0.0000  0.0000
Li  0.2875  0.2875  0.2875
La  0.8037  0.8037  0.8037
Ir  0.5875  0.5875  0.5875

Output
The value obtained for the formation energy is -1.08 eV per formula unit. The offset from the most stable computed form comes out at 0.27 eV per formula unit.

---

Entry 8:
First-principles (PBE) data for Tb4GeBiC after structural relaxation, as listed in Alexandria via LeMat-Bulk.

Unit cell a=8.5251 b=8.5251 c=6.8137 alpha=90.00 beta=90.00 gamma=133.00
Element x y z (fractional)
Tb  0.0000  0.5000  0.0000
Tb  0.0000  0.5000  0.5000
Tb  0.0837  0.9163  0.7500
Tb  0.4046  0.5954  0.7500
Tb  0.5000  0.0000  0.0000
Tb  0.5000  0.0000  0.5000
Tb  0.5954  0.4046  0.2500
Tb  0.9163  0.0837  0.2500
Ge  0.1145  0.8855  0.2500
Ge  0.8855  0.1145  0.7500
Bi  0.3955  0.6045  0.2500
Bi  0.6045  0.3955  0.7500
C  0.2455  0.7545  0.7500
C  0.7545  0.2455  0.2500

Output
The value obtained for the formation energy is -4.33 eV per formula unit.

---

Entry 9:
First-principles (PBE) data for CrSi2Ir2 after structural relaxation, as listed in Alexandria via LeMat-Bulk.

Unit cell a=7.0930 b=7.0930 c=2.7938 alpha=90.00 beta=90.00 gamma=90.00
Element x y z (fractional)
Cr  0.0000  0.0000  0.0000
Cr  0.5000  0.5000  0.0000
Si  0.1509  0.3491  0.0000
Si  0.3491  0.8491  0.0000
Si  0.6509  0.1509  0.0000
Si  0.8491  0.6509  0.0000
Ir  0.1464  0.6464  0.5000
Ir  0.3536  0.1464  0.5000
Ir  0.6464  0.8536  0.5000
Ir  0.8536  0.3536  0.5000

Output
The uncorrected formation energy comes out at -0.311 eV/atom.

---

Entry 10:
First-principles (PBE) data for Ir2Pd2Cl after structural relaxation, as listed in Alexandria via LeMat-Bulk.

Unit cell a=6.3602 b=6.3602 c=6.3602 alpha=143.21 beta=143.21 gamma=53.01
Element x y z (fractional)
Ir  0.1033  0.1033  0.0000
Ir  0.8967  0.8967  0.0000
Pd  0.2500  0.7500  0.5000
Pd  0.7500  0.2500  0.5000
Cl  0.5000  0.5000  0.0000

Output
The uncorrected formation energy comes out at 0.864 eV/atom. The offset from the most stable computed form comes out at 1.21 eV per formula unit.

---

Entry 11:
First-principles (PBE) data for Ba2Li2As after structural relaxation, as listed in Alexandria via LeMat-Bulk.

Unit cell a=8.7055 b=8.7055 c=5.9141 alpha=90.00 beta=90.00 gamma=90.00
Element x y z (fractional)
Ba  0.1770  0.3230  0.0000
Ba  0.3230  0.8230  0.0000
Ba  0.6770  0.1770  0.0000
Ba  0.8230  0.6770  0.0000
Li  0.1242  0.6242  0.5000
Li  0.3758  0.1242  0.5000
Li  0.6242  0.8758  0.5000
Li  0.8758  0.3758  0.5000
As  0.0000  0.0000  0.0000
As  0.5000  0.5000  0.0000

Output
The value obtained for the formation energy is -0.38 eV per formula unit. The offset from the most stable computed form comes out at 1.68 eV per formula unit.

---

Entry 12:
First-principles (PBE) data for RbCd3In3 after structural relaxation, as listed in Alexandria via LeMat-Bulk.

Unit cell a=8.1735 b=8.1735 c=8.1735 alpha=63.89 beta=63.89 gamma=63.89
Element x y z (fractional)
Rb  0.1252  0.1252  0.1252
Rb  0.8748  0.8748  0.8748
Cd  0.1899  0.5628  0.5628
Cd  0.4372  0.4372  0.8101
Cd  0.4372  0.8101  0.4372
Cd  0.5628  0.1899  0.5628
Cd  0.5628  0.5628  0.1899
Cd  0.8101  0.4372  0.4372
In  0.1812  0.1812  0.5613
In  0.1812  0.5613  0.1812
In  0.4387  0.8188  0.8188
In  0.5613  0.1812  0.1812
In  0.8188  0.4387  0.8188
In  0.8188  0.8188  0.4387

Output
The value obtained for the formation energy is -0.26 eV per formula unit. The offset from the most stable computed form comes out at 0.00 eV per formula unit.